# 1
Compound: Ac12LaPb4
Source: the Alexandria database
Functional: PBE
Structure: optimized geometry

Results
* crystal system: cubic
* total magnetization: 0.064 μB per atom
* ΔH_f (0 K): 0.154 eV per atom
* D(E_F): 33.4 states/eV per cell

Lattice parameters (Å, degrees): 10.273 10.273 10.273 109.47 109.47 109.47
Sites, in units of the cell vectors:
Ac 0.836 0.668 0.504
Ac 0.164 0.668 0.832
Ac 0.832 0.164 0.668
Ac 0.836 0.332 0.168
Ac 0.332 0.168 0.836
Ac 0.332 0.496 0.164
Ac 0.496 0.164 0.332
Ac 0.668 0.504 0.836
Ac 0.168 0.836 0.332
Ac 0.668 0.832 0.164
Ac 0.164 0.332 0.496
Ac 0.504 0.836 0.668
Pb 0.000 0.500 0.000
Pb 0.500 0.500 0.500
Pb 0.500 0.000 0.000
Pb 0.000 0.000 0.500
La 0.000 0.000 0.000

---

# 2
Compound: Ac2La3Pb2
Source: the Alexandria database
Functional: PBE
Structure: optimized geometry

Results
* crystal system: monoclinic
* total magnetization: 0.000 μB per atom
* ΔH_f (0 K): -0.355 eV per atom
* D(E_F): 8.8 states/eV per cell

Lattice parameters (Å, degrees): 4.770 6.861 9.260 108.37 90.00 110.34
Sites, in units of the cell vectors:
La 0.500 0.000 0.000
La 0.368 0.735 0.554
La 0.632 0.265 0.446
Pb 0.836 0.673 0.799
Pb 0.164 0.327 0.201
Ac 0.137 0.275 0.789
Ac 0.863 0.725 0.211

---

# 3
Compound: Ac3LaPb5
Source: the Alexandria database
Functional: PBE
Structure: optimized geometry

Results
* crystal system: hexagonal
* total magnetization: 0.000 μB per atom
* ΔH_f (0 K): -0.484 eV per atom
* D(E_F): 19.1 states/eV per cell

Lattice parameters (Å, degrees): 6.968 10.186 10.186 120.00 90.00 90.00
Sites, in units of the cell vectors:
Pb 0.750 0.000 0.713
Pb 0.000 0.333 0.667
Pb 0.500 0.667 0.333
Pb 0.500 0.333 0.667
Pb 0.000 0.667 0.333
Pb 0.250 0.713 0.713
Pb 0.750 0.713 0.000
Pb 0.250 0.287 0.000
Pb 0.750 0.287 0.287
Pb 0.250 0.000 0.287
Ac 0.250 0.380 0.380
Ac 0.250 0.620 0.000
Ac 0.250 0.000 0.620
Ac 0.750 0.380 0.000
Ac 0.750 0.620 0.620
Ac 0.750 0.000 0.380
La 0.500 0.000 0.000
La 0.000 0.000 0.000

---

# 4
Compound: AcLaPb4
Source: the Alexandria database
Functional: PBE
Structure: optimized geometry

Results
* crystal system: cubic
* total magnetization: 0.121 μB per atom
* ΔH_f (0 K): -0.300 eV per atom
* D(E_F): 6.5 states/eV per cell

Lattice parameters (Å, degrees): 6.569 6.569 6.569 60.00 60.00 60.00
Sites, in units of the cell vectors:
Ac 0.000 0.000 0.000
Pb 0.625 0.126 0.625
Pb 0.126 0.625 0.625
Pb 0.625 0.625 0.625
Pb 0.625 0.625 0.126
La 0.250 0.250 0.250

---

# 5
Compound: Ac2La2Pb5
Source: the Alexandria database
Functional: PBE
Structure: optimized geometry

Results
* crystal system: orthorhombic
* total magnetization: 0.000 μB per atom
* ΔH_f (0 K): -0.415 eV per atom
* D(E_F): 14.4 states/eV per cell

Lattice parameters (Å, degrees): 9.048 8.989 9.065 119.72 90.00 90.00
Sites, in units of the cell vectors:
Pb 0.821 0.825 0.294
Pb 0.179 0.469 0.294
Pb 0.679 0.325 0.294
Pb 0.321 0.675 0.706
Pb 0.679 0.031 0.706
Pb 0.000 0.000 0.000
Pb 0.179 0.175 0.706
Pb 0.321 0.969 0.294
Pb 0.821 0.531 0.706
Pb 0.500 0.500 0.000
La 0.000 0.794 0.588
La 0.000 0.206 0.412
La 0.500 0.706 0.412
La 0.500 0.294 0.588
Ac 0.638 0.860 0.000
Ac 0.138 0.640 0.000
Ac 0.862 0.360 0.000
Ac 0.362 0.140 0.000

---

# 6
Compound: Ac3La2Pb4
Source: the Alexandria database
Functional: PBE
Structure: optimized geometry

Results
* crystal system: monoclinic
* total magnetization: 0.000 μB per atom
* ΔH_f (0 K): -0.509 eV per atom
* D(E_F): 4.0 states/eV per cell

Lattice parameters (Å, degrees): 5.345 7.355 9.196 103.43 106.89 90.00
Sites, in units of the cell vectors:
Pb 0.504 0.290 0.007
Pb 0.243 0.268 0.487
Pb 0.496 0.710 0.993
Pb 0.757 0.732 0.513
Ac 0.878 0.427 0.755
Ac 0.000 0.000 0.000
Ac 0.122 0.573 0.245
La 0.662 0.078 0.324
La 0.338 0.922 0.676

---

# 7
Compound: AcLa2Pb
Source: the Alexandria database
Functional: PBE
Structure: optimized geometry

Results
* crystal system: orthorhombic
* total magnetization: 0.001 μB per atom
* ΔH_f (0 K): -0.303 eV per atom
* D(E_F): 13.2 states/eV per cell

Lattice parameters (Å, degrees): 4.465 6.748 10.477 90.00 90.00 109.32
Sites, in units of the cell vectors:
La 0.359 0.718 0.962
La 0.359 0.718 0.538
La 0.641 0.282 0.462
La 0.641 0.282 0.038
Ac 0.944 0.887 0.250
Ac 0.056 0.113 0.750
Pb 0.768 0.536 0.750
Pb 0.232 0.464 0.250

---

# 8
Compound: Ac12LaPb6
Source: the Alexandria database
Functional: PBE
Structure: optimized geometry

Results
* crystal system: trigonal
* total magnetization: 0.005 μB per atom
* ΔH_f (0 K): -0.107 eV per atom
* D(E_F): 25.4 states/eV per cell

Lattice parameters (Å, degrees): 9.614 9.614 9.614 100.31 100.31 100.31
Sites, in units of the cell vectors:
Ac 0.328 0.066 0.978
Ac 0.066 0.978 0.328
Ac 0.448 0.812 0.582
Ac 0.812 0.582 0.448
Ac 0.582 0.448 0.812
Ac 0.978 0.328 0.066
Ac 0.418 0.552 0.188
Ac 0.188 0.418 0.552
Ac 0.022 0.672 0.934
Ac 0.934 0.022 0.672
Ac 0.552 0.188 0.418
Ac 0.672 0.934 0.022
Pb 0.311 0.126 0.642
Pb 0.126 0.642 0.311
Pb 0.642 0.311 0.126
Pb 0.358 0.689 0.874
Pb 0.689 0.874 0.358
Pb 0.874 0.358 0.689
La 0.000 0.000 0.000